[1]
VASP calculation (SCAN) on a PBEsol-optimized structure of Cu2AgOs.

Results
N(E_F)	3.1	states/eV/f.u.
density	13.20	Mg/m³
symmetry	No. 123
formation energy from the elements	0.343	eV/atom
magnetization	0.001	μB per cell

Cell: 2.6327 2.6327 7.7182 Å, 90.00 90.00 90.00°
Last column: nearest neighbours and their distance in Å.
Atoms (fractional coordinates):
Cu: 0.0000 0.0000 0.2404  4 Os 2.63, 4 Cu 2.63, 4 Ag 2.74
Cu: 0.0000 0.0000 0.7596  4 Os 2.63, 4 Cu 2.63, 4 Ag 2.74
Ag: 0.5000 0.5000 0.5000  4 Ag 2.63, 8 Cu 2.74
Os: 0.5000 0.5000 0.0000  8 Cu 2.63, 4 Os 2.63


[2]
VASP calculation (SCAN) on a PBEsol-optimized structure of CuAg2P.

Results
N(E_F)	0.9	states/eV/f.u.
density	8.61	Mg/m³
symmetry	No. 166
formation energy from the elements	0.318	eV/atom
magnetization	0.000	μB per cell

Cell: 2.8330 2.8330 8.7653 Å, 80.70 80.70 60.00°
Last column: nearest neighbours and their distance in Å.
Atoms (fractional coordinates):
Cu: 0.5000 0.5000 0.5000  6 Ag 2.66, 6 Cu 2.83
Ag: 0.2481 0.2481 0.2557  3 Cu 2.66, 3 P 2.74, 6 Ag 2.83
Ag: 0.7519 0.7519 0.7443  3 Cu 2.66, 3 P 2.74, 6 Ag 2.83
P: 0.0000 0.0000 0.0000  6 Ag 2.74, 6 P 2.83


[3]
VASP calculation (SCAN) on a PBEsol-optimized structure of CuAgP2.

Results
N(E_F)	1.5	states/eV/f.u.
density	6.46	Mg/m³
symmetry	No. 6
formation energy from the elements	0.267	eV/atom
magnetization	0.000	μB per cell

Cell: 2.6104 3.1584 7.3940 Å, 90.00 100.48 90.00°
Last column: nearest neighbours and their distance in Å.
Atoms (fractional coordinates):
P: 0.1798 0.5000 0.2250  2 P 2.27
P: 0.0644 0.0000 0.0008  2 P 2.27, 2 Cu 2.37
Ag: 0.3155 0.0000 0.5164  2 Ag 2.61, 2 P 2.64, 4 Cu 2.70
Cu: 0.9403 0.5000 0.7577  2 P 2.37, 2 Cu 2.61


[4]
VASP calculation (SCAN) on a PBEsol-optimized structure of CuAgP3.

Results
N(E_F)	3.8	states/eV/f.u.
density	4.97	Mg/m³
symmetry	No. 221
formation energy from the elements	0.991	eV/atom
magnetization	0.000	μB per cell

Cell: 4.4546 4.4546 4.4546 Å, 90.00 90.00 90.00°
Last column: nearest neighbours and their distance in Å.
Atoms (fractional coordinates):
P: 0.0000 0.5000 0.0000  2 Cu 2.23
P: 0.0000 0.0000 0.5000  2 Cu 2.23
P: 0.5000 0.0000 0.0000  2 Cu 2.23
Ag: 0.5000 0.5000 0.5000  12 P 3.15
Cu: 0.0000 0.0000 0.0000  6 P 2.23


[5]
VASP calculation (SCAN) on a PBEsol-optimized structure of CuAg2P.

Results
N(E_F)	1.0	states/eV/f.u.
density	8.66	Mg/m³
symmetry	No. 139
formation energy from the elements	0.260	eV/atom
magnetization	0.000	μB per cell

Cell: 3.8726 3.8699 4.8206 Å, 113.67 113.68 90.00°
Last column: nearest neighbours and their distance in Å.
Atoms (fractional coordinates):
Ag: 0.7500 0.7500 0.5000  4 Ag 2.74, 4 P 2.77, 4 Cu 2.77
Ag: 0.2500 0.2500 0.5000  4 Ag 2.74, 4 P 2.77, 4 Cu 2.77
Cu: 0.0000 0.5000 0.0000  4 P 2.74, 8 Ag 2.77
P: 0.5000 0.0000 0.0000  4 Cu 2.74, 8 Ag 2.77


[6]
VASP calculation (SCAN) on a PBEsol-optimized structure of CuAgP2.

Results
N(E_F)	1.1	states/eV/f.u.
density	6.43	Mg/m³
symmetry	No. 99
formation energy from the elements	0.392	eV/atom
magnetization	0.000	μB per cell

Cell: 2.6019 2.6019 8.8953 Å, 90.00 90.00 90.00°
Last column: nearest neighbours and their distance in Å.
Atoms (fractional coordinates):
Ag: 0.0000 0.0000 0.5222  4 Ag 2.60, 4 Cu 2.78, 4 P 2.85
Cu: 0.5000 0.5000 0.7560  4 P 2.49, 4 Cu 2.60, 4 Ag 2.78
P: 0.0000 0.0000 0.9442  4 Cu 2.49, 4 P 2.60
P: 0.5000 0.5000 0.2776  4 P 2.60, 4 Ag 2.85


[7]
VASP calculation (SCAN) on a PBEsol-optimized structure of CuAg2P.

Results
N(E_F)	0.8	states/eV/f.u.
density	8.58	Mg/m³
symmetry	No. 44
formation energy from the elements	0.227	eV/atom
magnetization	0.000	μB per cell

Cell: 3.0986 4.4449 5.1332 Å, 115.66 107.57 90.00°
Last column: nearest neighbours and their distance in Å.
Atoms (fractional coordinates):
Ag: 0.2336 0.7336 0.4672  4 P 2.73, 4 Cu 2.75-3.05, 4 Ag 2.92
Ag: 0.0172 0.0172 0.0343  4 Cu 2.74, 4 P 2.74-3.06, 4 Ag 2.92
P: 0.7761 0.2761 0.5521  2 Cu 2.31
Cu: 0.4732 0.4732 0.9463  2 P 2.31


[8]
VASP calculation (SCAN) on a PBEsol-optimized structure of ZrCuAgP2.

Results
N(E_F)	2.7	states/eV/f.u.
density	4.30	Mg/m³
symmetry	No. 123
formation energy from the elements	0.901	eV/atom
magnetization	0.000	μB per cell

Cell: 4.8728 4.8728 5.2755 Å, 90.00 90.00 90.00°
Last column: nearest neighbours and their distance in Å.
Atoms (fractional coordinates):
Zr: 0.0000 0.0000 0.0000  4 P 2.44, 2 Ag 2.64
Cu: 0.5000 0.5000 0.5000  4 Ag 3.45, 8 P 3.59
Ag: 0.0000 0.0000 0.5000  2 Zr 2.64
P: 0.0000 0.5000 0.0000  2 Zr 2.44
P: 0.5000 0.0000 0.0000  2 Zr 2.44


[9]
VASP calculation (SCAN) on a PBEsol-optimized structure of CuAgPb2.

Results
N(E_F)	1.4	states/eV/f.u.
density	11.29	Mg/m³
symmetry	No. 119
formation energy from the elements	0.317	eV/atom
magnetization	0.000	μB per cell

Cell: 4.1916 4.1916 5.7314 Å, 111.45 111.45 90.00°
Last column: nearest neighbours and their distance in Å.
Atoms (fractional coordinates):
Ag: 0.5000 0.5000 0.0000  8 Pb 2.96-3.23, 4 Cu 3.23
Pb: 0.7500 0.2500 0.5000  4 Cu 2.96, 4 Pb 3.23, 4 Ag 3.23
Pb: 0.0000 0.0000 0.0000  4 Ag 2.96, 4 Pb 3.23, 4 Cu 3.23
Cu: 0.2500 0.7500 0.5000  8 Pb 2.96-3.23, 4 Ag 3.23


[10]
VASP calculation (SCAN) on a PBEsol-optimized structure of CuAgPb.

Results
N(E_F)	1.0	states/eV/f.u.
density	11.13	Mg/m³
symmetry	No. 107
formation energy from the elements	0.254	eV/atom
magnetization	0.000	μB per cell

Cell: 3.2381 3.2381 5.8547 Å, 106.05 106.05 90.00°
Last column: nearest neighbours and their distance in Å.
Atoms (fractional coordinates):
Cu: 0.3492 0.3492 0.6984  4 Ag 2.65, 4 Pb 2.94
Ag: 0.9729 0.9729 0.9458  4 Cu 2.65
Pb: 0.6779 0.6779 0.3558  4 Cu 2.94, 5 Ag 3.18, 4 Pb 3.24


[11]
VASP calculation (SCAN) on a PBEsol-optimized structure of CuTcAg2Pb.

Results
N(E_F)	3.1	states/eV/f.u.
density	7.79	Mg/m³
symmetry	No. 123
formation energy from the elements	1.493	eV/atom
magnetization	4.622	μB per cell

Cell: 4.7553 5.1184 5.1184 Å, 90.00 90.00 90.00°
Last column: nearest neighbours and their distance in Å.
Atoms (fractional coordinates):
Tc: 0.5000 0.5000 0.5000  8 Ag 3.49, 4 Cu 3.62
Cu: 0.5000 0.0000 0.0000  2 Pb 2.38
Ag: 0.0000 0.5000 0.0000  2 Pb 2.56
Ag: 0.0000 0.0000 0.5000  2 Pb 2.56
Pb: 0.0000 0.0000 0.0000  2 Cu 2.38, 4 Ag 2.56


[12]
VASP calculation (SCAN) on a PBEsol-optimized structure of CuAgTe2Pb.

Results
N(E_F)	2.0	states/eV/f.u.
density	8.23	Mg/m³
symmetry	No. 123
magnetization	0.000	μB per cell
uncorrected formation energy	217.1	meV per atom

Cell: 4.7400 5.1955 5.1955 Å, 90.00 90.00 90.00°
Last column: nearest neighbours and their distance in Å.
Atoms (fractional coordinates):
Cu: 0.0000 0.0000 0.0000  2 Ag 2.37, 4 Te 2.60
Ag: 0.5000 0.0000 0.0000  2 Cu 2.37
Pb: 0.5000 0.5000 0.5000  8 Te 3.52, 4 Ag 3.67
Te: 0.0000 0.5000 0.0000  2 Cu 2.60
Te: 0.0000 0.0000 0.5000  2 Cu 2.60


[13]
VASP calculation (SCAN) on a PBEsol-optimized structure of Cu2AgPd2.

Results
N(E_F)	1.8	states/eV/f.u.
density	10.56	Mg/m³
symmetry	No. 127
formation energy from the elements	-0.004	eV/atom
magnetization	0.000	μB per cell

Cell: 2.8424 7.0392 7.0392 Å, 90.00 90.00 90.00°
Last column: nearest neighbours and their distance in Å.
Atoms (fractional coordinates):
Pd: 0.5000 0.3303 0.1697  6 Cu 2.48-2.54
Pd: 0.5000 0.8303 0.3303  6 Cu 2.48-2.54
Pd: 0.5000 0.1697 0.6697  6 Cu 2.48-2.54
Pd: 0.5000 0.6697 0.8303  6 Cu 2.48-2.54
Cu: 0.0000 0.8742 0.6258  6 Pd 2.48-2.54, 1 Cu 2.51, 2 Ag 2.78
Cu: 0.0000 0.1258 0.3742  6 Pd 2.48-2.54, 1 Cu 2.51, 2 Ag 2.78
Cu: 0.0000 0.6258 0.1258  6 Pd 2.48-2.54, 1 Cu 2.51, 2 Ag 2.78
Cu: 0.0000 0.3742 0.8742  6 Pd 2.48-2.54, 1 Cu 2.51, 2 Ag 2.78
Ag: 0.0000 0.0000 0.0000  4 Cu 2.78, 2 Ag 2.84, 8 Pd 2.98
Ag: 0.0000 0.5000 0.5000  4 Cu 2.78, 2 Ag 2.84, 8 Pd 2.98


[14]
VASP calculation (SCAN) on a PBEsol-optimized structure of CuAg3Pd.

Results
N(E_F)	1.7	states/eV/f.u.
density	8.47	Mg/m³
symmetry	No. 221
formation energy from the elements	0.762	eV/atom
magnetization	0.000	μB per cell

Cell: 4.5917 4.5917 4.5917 Å, 90.00 90.00 90.00°
Last column: nearest neighbours and their distance in Å.
Atoms (fractional coordinates):
Cu: 0.0000 0.0000 0.0000  6 Ag 2.30
Pd: 0.5000 0.5000 0.5000  12 Ag 3.25
Ag: 0.0000 0.0000 0.5000  2 Cu 2.30
Ag: 0.5000 0.0000 0.0000  2 Cu 2.30
Ag: 0.0000 0.5000 0.0000  2 Cu 2.30


[15]
VASP calculation (SCAN) on a PBEsol-optimized structure of CuSiAg2Pd.

Results
N(E_F)	2.0	states/eV/f.u.
density	7.16	Mg/m³
symmetry	No. 123
magnetization	0.000	μB per cell
uncorrected formation energy	906.4	meV per atom

Cell: 4.5723 4.5816 4.5816 Å, 90.00 90.00 90.00°
Last column: nearest neighbours and their distance in Å.
Atoms (fractional coordinates):
Cu: 0.0000 0.0000 0.0000  2 Pd 2.29, 4 Ag 2.29
Ag: 0.0000 0.5000 0.0000  2 Cu 2.29
Ag: 0.0000 0.0000 0.5000  2 Cu 2.29
Pd: 0.5000 0.0000 0.0000  2 Cu 2.29
Si: 0.5000 0.5000 0.5000  8 Ag 3.24, 4 Pd 3.24